[1]
Computed, not measured: La2MgCo after structural relaxation at the PBE-GGA level of DFT.

```
La2MgCo
1.0
-3.679 -3.248 -6.696
2.390 -2.456 3.936
-3.120 -2.126 0.568
La Co Mg
2 1 1
Direct
0.500 0.000 0.500
0.000 0.000 0.000
0.500 0.500 0.000
0.000 0.500 0.500
```

Output
**Calculated density**: 5.77 g/cm3
**SG**: Cmmm (65)

[2]
Computed, not measured: La2Mg2Co15 after structural relaxation at the PBE-GGA level of DFT.

```
La2Mg2Co15
1.0
6.372 -0.045 0.783
0.687 6.335 0.783
-0.050 -0.045 6.420
Co Mg La
15 2 2
Direct
0.152 0.652 0.652
0.348 0.848 0.348
0.713 0.000 0.287
0.848 0.348 0.348
0.000 0.000 0.500
0.287 0.000 0.713
0.652 0.152 0.652
0.000 0.287 0.713
0.287 0.713 0.000
0.348 0.348 0.848
0.000 0.500 0.000
0.713 0.287 0.000
0.500 0.000 0.000
0.652 0.652 0.152
0.000 0.713 0.287
0.105 0.105 0.105
0.895 0.895 0.895
0.647 0.647 0.647
0.353 0.353 0.353
```

Output
**Calculated density**: 7.74 g/cm3
**SG**: R-3m (166)

[3]
Computed, not measured: La6MgCo3 after structural relaxation at the PBE-GGA level of DFT.

```
La6MgCo3
1.0
7.225 0.000 0.000
0.000 8.648 -1.320
0.000 -0.251 8.745
Co Mg La
6 2 12
Direct
0.379 0.405 0.595
0.468 0.294 0.084
0.879 0.595 0.405
0.468 0.916 0.706
0.968 0.084 0.294
0.968 0.706 0.916
0.529 0.677 0.323
0.029 0.323 0.677
0.498 0.228 0.772
0.998 0.772 0.228
0.164 0.031 0.969
0.807 0.958 0.575
0.182 0.374 0.311
0.807 0.425 0.042
0.307 0.575 0.958
0.664 0.969 0.031
0.682 0.626 0.689
0.307 0.042 0.425
0.682 0.311 0.374
0.182 0.689 0.626
```

Output
**Calculated density**: 6.32 g/cm3
**SG**: Cmc2_1 (36)

[4]
Computed, not measured: La3MgCo8 after structural relaxation at the PBE-GGA level of DFT.

```
La3MgCo8
1.0
-3.487 -2.928 -2.192
1.629 -1.069 4.663
-6.256 4.964 3.323
Co La Mg
8 3 1
Direct
0.167 0.833 0.259
0.333 0.667 0.501
0.333 0.667 0.006
0.497 0.994 0.740
0.497 0.503 0.740
0.006 0.503 0.740
0.667 0.833 0.259
0.167 0.333 0.259
0.667 0.333 0.068
0.000 0.000 0.924
0.667 0.333 0.440
0.000 0.000 0.564
```

Output
**Calculated density**: 7.92 g/cm3
**SG**: P3m1 (156)

Values of calculated volume, in order: 104.0; 259.8; 544.0; 191.3, all in Å³ per cell.
Values of formation enthalpy at 0 K, in order: 0.090; -0.013; -0.069; -0.020, all in eV per atom.